Below is an optimized crystal structure of LuTaCoNi, with properties calculated at the GGA-PBE level.

Summary:
ΔE_f	-145	meV per atom
raw total energy	-7.46	eV/atom
symmetry	F-43m (216)
crystal system	cubic

Cell: 4.469 4.469 4.469 Å, 60.00 60.00 60.00°
Fractional coordinates of all 4 atoms:
Lu 0.000 0.000 0.000
Ta 0.500 0.500 0.500
Co 0.250 0.250 0.250
Ni 0.750 0.750 0.750